{
  "formula": "ScIrPd3",
  "functional": "PBE",
  "state": "optimized geometry",
  "e_above_lowest_polymorph_mev_per_atom": 207.8,
  "delta_e_f_kj_per_mol_fu": 440,
  "spacegroup": "Pm-3m (221)",
  "lattice": [[-1.432, 2.689, 3.461], [-4.075, 0.523, -2.093], [-1.614, -3.708, 2.214]],
  "species": ["Sc", "Ir", "Pd", "Pd", "Pd"],
  "fractional_positions": [[0.000, 0.000, 0.000], [0.500, 0.500, 0.500], [0.000, 0.500, 0.000], [0.000, 0.000, 0.500], [0.500, 0.000, 0.000]]
}